[1]
# HgIO2F

A relaxed structure of HgIO2F (PBE-GGA, the Alexandria database).

Computed properties:
- formation energy without anion corrections (kJ per mole of atoms) = 70.5
- final energy (eV/atom) = -1.997

Cell lengths 4.603, 4.603, 4.303 Å; angles 90.00, 90.00, 90.00 degrees
Site moments in Bohr magnetons follow the coordinates.
Fractional coordinates of all 5 atoms:
O 0.000 0.500 0.000  1.10
O 0.500 0.000 0.000  1.10
I 0.000 0.000 0.500  0.01
F 0.000 0.000 0.000  0.13
Hg 0.500 0.500 0.500  -0.01

[2]
# CdGeH2Ir

A relaxed structure of CdGeH2Ir (PBE-GGA, the Alexandria database).

Computed properties:
- final energy (eV/atom) = -3.777

Cell lengths 3.531, 6.013, 3.531 Å; angles 90.00, 90.00, 90.00 degrees
Fractional coordinates of all 5 atoms:
H 0.000 0.000 0.500
H 0.500 0.000 0.000
Ge 0.500 0.500 0.500
Ir 0.000 0.500 0.000
Cd 0.000 0.000 0.000

[3]
# LaHgH

A relaxed structure of LaHgH (PBE-GGA, the Alexandria database).

Computed properties:
- final energy (eV/atom) = -3.414
- energy above the lowest structure with this stoichiometry (meV per atom) = 0

Cell lengths 4.137, 4.565, 6.953 Å; angles 90.00, 107.31, 90.00 degrees
Fractional coordinates of all 6 atoms:
La 0.338 0.750 0.676
La 0.662 0.250 0.324
H 0.744 0.750 0.489
H 0.256 0.250 0.511
Hg 0.932 0.250 0.864
Hg 0.068 0.750 0.136

[4]
# Mg3InGa

A relaxed structure of Mg3InGa (PBE-GGA, the Alexandria database).

Computed properties:
- final energy (eV/atom) = -2.173
- E_form (eV/atom) = -0.06
- energy above the lowest structure with this stoichiometry (meV per atom) = 0

Cell lengths 5.265, 5.313, 8.329 Å; angles 89.96, 109.34, 89.99 degrees
Fractional coordinates of all 10 atoms:
Mg 0.957 0.309 0.200
Mg 0.767 0.333 0.808
Mg 0.258 0.831 0.806
Mg 0.566 0.392 0.411
Mg 0.460 0.892 0.203
Mg 0.069 0.809 0.414
In 0.860 0.817 0.012
In 0.166 0.316 0.603
Ga 0.661 0.872 0.595
Ga 0.365 0.372 0.020

[5]
# AcSmGaIr

A relaxed structure of AcSmGaIr (PBE-GGA, the Alexandria database).

Computed properties:
- final energy (eV/atom) = -5.616
- E_form (eV/atom) = -0.44
- energy above the lowest structure with this stoichiometry (meV per atom) = 157

Cell lengths 5.238, 5.238, 5.238 Å; angles 60.00, 60.00, 60.00 degrees
Fractional coordinates of all 4 atoms:
Sm 0.750 0.750 0.750
Ga 0.500 0.500 0.500
Ac 0.250 0.250 0.250
Ir 0.000 0.000 0.000

[6]
# RePb3

A relaxed structure of RePb3 (PBE-GGA, the Alexandria database).

Computed properties:
- final energy (eV/atom) = -5.225
- E_form (eV/atom) = 0.67
- energy above the lowest structure with this stoichiometry (meV per atom) = 249

Cell lengths 5.372, 5.372, 5.372 Å; angles 90.00, 90.00, 90.00 degrees
Fractional coordinates of all 4 atoms:
Pb 0.000 0.000 0.500
Pb 0.500 0.000 0.000
Pb 0.000 0.500 0.000
Re 0.000 0.000 0.000